# Ag4TeO5

A crystal of Ag4TeO5 relaxed with PBEsol (meta-GGA SCAN, Alexandria).

Values from the calculation:
Raw total energy   -19.93 eV per atom
Energy relative to the elements, uncorrected   -539 meV per atom

POSCAR file:
```
Ag4TeO5
1.0
6.216 0.000 0.000
-3.108 7.890 0.119
0.000 -2.985 11.291
Ag Te O
16 4 20
Cartesian
4.966 -0.430 6.301
0.394 -0.746 2.823
5.822 -2.239 8.469
-0.861 4.231 8.900
2.247 -0.817 8.156
3.969 0.675 2.510
3.164 3.749 2.969
0.861 5.723 3.254
0.056 2.649 2.795
1.554 3.945 0.059
1.250 1.062 0.655
3.052 2.257 8.615
1.858 3.843 10.755
-0.056 1.156 8.441
-1.554 2.453 5.705
-1.858 5.336 5.110
1.304 4.026 6.043
1.804 0.880 5.368
4.412 -0.612 11.013
-1.304 5.518 0.397
-0.797 3.632 1.025
-0.256 -0.599 9.831
0.219 4.979 7.257
-0.182 3.924 4.760
2.311 2.766 4.739
0.797 2.140 6.671
0.256 0.893 4.186
2.889 -0.073 4.153
3.904 1.273 10.385
3.327 -1.565 9.798
-2.043 4.035 10.716
5.151 0.871 0.694
2.926 2.474 1.005
3.290 0.981 6.650
-0.219 6.471 1.612
1.065 -0.621 6.340
0.182 2.432 10.405
2.043 5.527 5.070
3.364 5.505 1.579
2.852 4.012 7.224
```